# 1
# InReTeAuS2

A geometry-optimized InReTeAuS2 structure (GGA-PBE, OQMD).

Geometry as CIF:
```
data_InReTeAuS2
_chemical_formula_sum 'In4 Re4 Te4 Au4 S8'
_symmetry_space_group_name_H-M 'C m c m'
_symmetry_Int_Tables_number 63
_symmetry_space_group_name_Hall '-C 2c 2'
_cell_length_a 3.308
_cell_length_b 15.896
_cell_length_c 10.284
_cell_angle_alpha 90.00
_cell_angle_beta 90.00
_cell_angle_gamma 90.00
loop_
_atom_site_label
_atom_site_fract_x
_atom_site_fract_y
_atom_site_fract_z
In1 0.000 0.200 0.250
Re1 0.000 0.500 0.000
Te1 0.000 0.462 0.750
Au1 0.000 0.157 0.750
S1 0.000 0.111 0.521
```

Its total magnetic moment is 0.1 Bohr magnetons per cell. The calculation puts the total energy at -5.02 eV per atom.

# 2
# InReAu3Se4

A geometry-optimized InReAu3Se4 structure (GGA-PBE, OQMD).

Geometry as CIF:
```
data_InReAu3Se4
_chemical_formula_sum 'In1 Re1 Au3 Se4'
_symmetry_space_group_name_H-M 'P -4 3 m'
_symmetry_Int_Tables_number 215
_symmetry_space_group_name_Hall 'P -4 2 3'
_cell_length_a 6.288
_cell_length_b 6.288
_cell_length_c 6.288
_cell_angle_alpha 90.00
_cell_angle_beta 90.00
_cell_angle_gamma 90.00
loop_
_atom_site_label
_atom_site_fract_x
_atom_site_fract_y
_atom_site_fract_z
In1 0.000 0.000 0.000
Re1 0.500 0.500 0.500
Au1 0.000 0.500 0.500
Se1 0.272 0.272 0.272
```

Its total magnetic moment is 2.9 Bohr magnetons per cell. The calculation puts the total energy at -4.12 eV per atom.

# 3
# InReTe3Au

A geometry-optimized InReTe3Au structure (GGA-PBE, OQMD).

Geometry as CIF:
```
data_InReTe3Au
_chemical_formula_sum 'In4 Re4 Te12 Au4'
_symmetry_space_group_name_H-M 'C m c m'
_symmetry_Int_Tables_number 63
_symmetry_space_group_name_Hall '-C 2c 2'
_cell_length_a 3.858
_cell_length_b 16.370
_cell_length_c 10.539
_cell_angle_alpha 90.00
_cell_angle_beta 90.00
_cell_angle_gamma 90.00
loop_
_atom_site_label
_atom_site_fract_x
_atom_site_fract_y
_atom_site_fract_z
In1 0.000 0.186 0.250
Re1 0.000 0.500 0.000
Te1 0.000 0.115 0.524
Te2 0.000 0.461 0.750
Au1 0.000 0.191 0.750
```

Its total magnetic moment is 3.3 Bohr magnetons per cell. The calculation puts the total energy at -4.55 eV per atom.

# 4
# InAu3S5

A geometry-optimized InAu3S5 structure (GGA-PBE, OQMD).

Geometry as CIF:
```
data_InAu3S5
_chemical_formula_sum 'In1 Au3 S5'
_symmetry_space_group_name_H-M 'P 6/m m m'
_symmetry_Int_Tables_number 191
_symmetry_space_group_name_Hall '-P 6 2'
_cell_length_a 5.4633
_cell_length_b 5.4633
_cell_length_c 8.3596
_cell_angle_alpha 90.00
_cell_angle_beta 90.00
_cell_angle_gamma 120.00
loop_
_atom_site_label
_atom_site_fract_x
_atom_site_fract_y
_atom_site_fract_z
In1 0.0000 0.0000 0.0000
Au1 0.0000 0.5000 0.5000
S1 0.0000 0.0000 0.5000
S2 0.3333 0.6667 0.1164
```

The calculation puts the total energy at -3.43 eV per atom.

# 5
# InSiAuSe2S

A geometry-optimized InSiAuSe2S structure (GGA-PBE, OQMD).

Geometry as CIF:
```
data_InSiAuSe2S
_chemical_formula_sum 'In4 Si4 Au4 Se8 S4'
_symmetry_space_group_name_H-M 'C m c m'
_symmetry_Int_Tables_number 63
_symmetry_space_group_name_Hall '-C 2c 2'
_cell_length_a 3.540
_cell_length_b 15.933
_cell_length_c 9.729
_cell_angle_alpha 90.00
_cell_angle_beta 90.00
_cell_angle_gamma 90.00
loop_
_atom_site_label
_atom_site_fract_x
_atom_site_fract_y
_atom_site_fract_z
In1 0.000 0.161 0.250
Si1 0.000 0.500 0.000
Au1 0.000 0.206 0.750
Se1 0.000 0.105 0.535
S1 0.000 0.462 0.750
```

The calculation puts the total energy at -3.97 eV per atom.

# 6
# InSnAuSe2S

A geometry-optimized InSnAuSe2S structure (GGA-PBE, OQMD).

Geometry as CIF:
```
data_InSnAuSe2S
_chemical_formula_sum 'In4 Sn4 Au4 Se8 S4'
_symmetry_space_group_name_H-M 'C m c m'
_symmetry_Int_Tables_number 63
_symmetry_space_group_name_Hall '-C 2c 2'
_cell_length_a 3.942
_cell_length_b 14.031
_cell_length_c 10.828
_cell_angle_alpha 90.00
_cell_angle_beta 90.00
_cell_angle_gamma 90.00
loop_
_atom_site_label
_atom_site_fract_x
_atom_site_fract_y
_atom_site_fract_z
In1 0.000 0.178 0.250
Sn1 0.000 0.500 0.000
Au1 0.000 0.171 0.750
Se1 0.000 0.140 0.525
S1 0.000 0.457 0.750
```

The calculation puts the total energy at -3.80 eV per atom.

# 7
# TaInAuSeS2

A geometry-optimized TaInAuSeS2 structure (GGA-PBE, OQMD).

Geometry as CIF:
```
data_TaInAuSeS2
_chemical_formula_sum 'Ta4 In4 Au4 Se4 S8'
_symmetry_space_group_name_H-M 'C m c m'
_symmetry_Int_Tables_number 63
_symmetry_space_group_name_Hall '-C 2c 2'
_cell_length_a 3.485
_cell_length_b 16.114
_cell_length_c 9.938
_cell_angle_alpha 90.00
_cell_angle_beta 90.00
_cell_angle_gamma 90.00
loop_
_atom_site_label
_atom_site_fract_x
_atom_site_fract_y
_atom_site_fract_z
Ta1 0.000 0.000 0.000
In1 0.000 0.319 0.250
Au1 0.000 0.313 0.750
Se1 0.000 0.042 0.750
S1 0.000 0.393 0.535
```

Its total magnetic moment is 0.0 Bohr magnetons per cell. The calculation puts the total energy at -5.43 eV per atom.

# 8
# InTcAuSeS2

A geometry-optimized InTcAuSeS2 structure (GGA-PBE, OQMD).

Geometry as CIF:
```
data_InTcAuSeS2
_chemical_formula_sum 'In4 Tc4 Au4 Se4 S8'
_symmetry_space_group_name_H-M 'C m c m'
_symmetry_Int_Tables_number 63
_symmetry_space_group_name_Hall '-C 2c 2'
_cell_length_a 3.325
_cell_length_b 15.478
_cell_length_c 9.741
_cell_angle_alpha 90.00
_cell_angle_beta 90.00
_cell_angle_gamma 90.00
loop_
_atom_site_label
_atom_site_fract_x
_atom_site_fract_y
_atom_site_fract_z
In1 0.000 0.182 0.250
Tc1 0.000 0.500 0.000
Au1 0.000 0.172 0.750
Se1 0.000 0.465 0.750
S1 0.000 0.114 0.519
```

Its total magnetic moment is 0.1 Bohr magnetons per cell. The calculation puts the total energy at -4.91 eV per atom.